The following is a PBE calculation of Nd2BBrN2 after structural relaxation, from OQMD via LeMat-Bulk.

Properties
The total energy comes out at -6.908 eV per atom. Its space-group type is R-3m, No. 166.

a = 8.647 Å, b = 8.647 Å, c = 8.647 Å
α = 27.19°, β = 27.19°, γ = 27.19°
Positions (direct):
Nd1 0.240 0.240 0.240
Nd2 0.760 0.760 0.760
B1 0.500 0.500 0.500
Br1 0.000 0.000 0.000
N1 0.443 0.443 0.443
N2 0.557 0.557 0.557